[1]
DFT (GGA-PBE) results for a relaxed structure of CaEr7Hg4.

## Properties
Its formation energy is -64 meV per atom. The space group is C2/m (12).

abc: 5.6481 8.9086 7.7941
angles: 70.92 68.76 71.52
With the nearest neighbours (Å) after each atom.
Fractional positions:
Er  0.9319  0.4112  0.7250  3 Hg 3.05-3.19, 1 Er 3.25
Er  0.7882  0.8826  0.5409  4 Hg 3.18-3.50, 5 Er 3.42-3.53
Er  0.2118  0.1174  0.4591  4 Hg 3.18-3.50, 5 Er 3.42-3.53
Er  0.2700  0.6805  0.7794  4 Hg 2.93-3.11
Er  0.7300  0.3195  0.2206  4 Hg 2.93-3.11
Er  0.0681  0.5888  0.2750  3 Hg 3.05-3.19, 1 Er 3.25
Er  0.5000  0.0000  0.0000  2 Ca 2.82, 4 Hg 2.93-3.07
Hg  0.4522  0.7290  0.3667  4 Er 2.93-3.19, 1 Hg 3.11
Hg  0.6869  0.6626  0.9635  6 Er 2.93-3.18, 1 Hg 3.11
Hg  0.5478  0.2710  0.6333  4 Er 2.93-3.19, 1 Hg 3.11
Hg  0.3131  0.3374  0.0365  6 Er 2.93-3.18, 1 Hg 3.11
Ca  0.0000  0.0000  0.0000  2 Er 2.82

[2]
DFT (GGA-PBE) results for a relaxed structure of CaEr2Hg4.

## Properties
Its formation energy is -396 meV per atom. The space group is I4/mmm (139).

abc: 6.3431 6.3431 6.3431
angles: 112.40 108.03 108.03
With the nearest neighbours (Å) after each atom.
Fractional positions:
Ca  0.0000  0.0000  0.0000  8 Hg 3.17
Hg  0.5000  0.0000  0.0000  2 Ca 3.17, 4 Er 3.17, 2 Hg 3.53
Hg  0.0000  0.0000  0.5000  4 Er 3.17, 2 Ca 3.17, 2 Hg 3.53
Hg  0.5000  0.5000  0.5000  2 Ca 3.17, 4 Er 3.17, 2 Hg 3.53
Hg  0.0000  0.5000  0.0000  4 Er 3.17, 2 Ca 3.17, 2 Hg 3.53
Er  0.5000  0.0000  0.5000  8 Hg 3.17, 2 Er 3.53
Er  0.5000  0.5000  0.0000  8 Hg 3.17, 2 Er 3.53

[3]
DFT (GGA-PBE) results for a relaxed structure of CaEr3Hg6.

## Properties
Its formation energy is -428 meV per atom. The space group is P2_1/m (11).

abc: 5.1500 9.1341 11.0808
angles: 106.44 90.00 90.00
With the nearest neighbours (Å) after each atom.
Fractional positions:
Ca  0.7500  0.0583  0.3924  8 Hg 3.13-3.34
Ca  0.2500  0.9417  0.6076  8 Hg 3.13-3.34
Er  0.2500  0.7687  0.9923  8 Hg 3.05-3.31
Er  0.7500  0.4763  0.6123  8 Hg 3.02-3.33
Er  0.2500  0.5237  0.3877  8 Hg 3.02-3.33
Er  0.2500  0.3551  0.8019  8 Hg 3.06-3.17
Er  0.7500  0.6449  0.1981  8 Hg 3.06-3.17
Er  0.7500  0.2313  0.0077  8 Hg 3.05-3.31
Hg  0.2500  0.2582  0.5139  4 Er 3.06-3.25, 3 Ca 3.22-3.34, 1 Hg 3.28
Hg  0.7500  0.8586  0.7950  8 Hg 3.21-3.48, 2 Er 3.51-3.55, 2 Ca 3.52
Hg  0.7500  0.5404  0.9088  7 Er 3.08-3.31
Hg  0.2500  0.1414  0.2050  8 Hg 3.21-3.48, 2 Er 3.51-3.55, 2 Ca 3.52
Hg  0.7500  0.1706  0.6986  4 Er 3.11-3.31, 3 Ca 3.25-3.29, 1 Hg 3.32
Hg  0.7500  0.3534  0.2993  5 Er 3.02-3.33, 1 Ca 3.15, 2 Hg 3.21
Hg  0.2500  0.6466  0.7007  5 Er 3.02-3.33, 1 Ca 3.15, 2 Hg 3.21
Hg  0.2500  0.0649  0.9011  4 Er 3.05-3.14, 1 Ca 3.13, 3 Hg 3.21-3.24
Hg  0.7500  0.9351  0.0989  4 Er 3.05-3.14, 1 Ca 3.13, 3 Hg 3.21-3.24
Hg  0.7500  0.7418  0.4861  4 Er 3.06-3.25, 3 Ca 3.22-3.34, 1 Hg 3.28
Hg  0.2500  0.8294  0.3014  4 Er 3.11-3.31, 3 Ca 3.25-3.29, 1 Hg 3.32
Hg  0.2500  0.4596  0.0912  7 Er 3.08-3.31

Which raw total energy belongs to each record? In order, -2.993 -2.158 -2.178 eV per atom.